# NaDy

A geometry-optimized NaDy structure (GGA-PBE, the Open Quantum Materials Database).

Cell lengths 5.2629, 5.2629, 6.4508 Å; angles 90.00, 90.00, 120.00 degrees
Space group P6_3/mmc (No. 194)
Symmetry-distinct sites (fractional):
1 Na 0.3333 0.6667 0.2500
2 Dy 0.3333 0.6667 0.7500

Values from the calculation:
Energy above the most stable polymorph in this dataset (meV/atom): 992

# TlAgSnTe3

A geometry-optimized TlAgSnTe3 structure (GGA-PBE, the Open Quantum Materials Database).

Cell lengths 18.3743, 4.2770, 9.7699 Å; angles 90.00, 104.14, 90.00 degrees
Space group C2/m (No. 12)
Symmetry-distinct sites (fractional):
1 Tl 0.1417 0.0000 0.0690
2 Ag 0.0060 0.5000 0.7094
3 Sn 0.1730 0.0000 0.5869
4 Te 0.0000 0.0000 0.5000
5 Te 0.0000 0.5000 0.0000
6 Te 0.1584 0.5000 0.3515
7 Te 0.1649 0.5000 0.8031

Values from the calculation:
Energy above the most stable polymorph in this dataset (meV/atom): 18

# Rb2TcSb2

A geometry-optimized Rb2TcSb2 structure (GGA-PBE, the Open Quantum Materials Database).

Cell lengths 7.3724, 16.5036, 5.9764 Å; angles 90.00, 90.00, 90.00 degrees
Space group Cmcm (No. 63)
Symmetry-distinct sites (fractional):
1 Rb 0.0000 0.0874 0.2500
2 Rb 0.0000 0.2902 0.7500
3 Tc 0.0000 0.5000 0.0000
4 Sb 0.2017 0.3943 0.2500

Values from the calculation:
E_tot (eV per atom): -4.12

# Y2Al4AgPd

A geometry-optimized Y2Al4AgPd structure (GGA-PBE, the Open Quantum Materials Database).

Cell lengths 6.8062, 4.4285, 10.2840 Å; angles 90.00, 90.00, 90.00 degrees
Space group Amm2 (No. 38)
Symmetry-distinct sites (fractional):
1 Y 0.0000 0.0000 0.0000
2 Y 0.5000 0.0000 0.1577
3 Al 0.1937 0.0000 0.7087
4 Al 0.2979 0.0000 0.4461
5 Ag 0.5000 0.0000 0.8706
6 Pd 0.0000 0.0000 0.2842

Values from the calculation:
E_tot (eV per atom): -5.10

# RbLiNiW

A geometry-optimized RbLiNiW structure (GGA-PBE, the Open Quantum Materials Database).

Cell lengths 6.9874, 6.9874, 6.9874 Å; angles 90.00, 90.00, 90.00 degrees
Space group F-43m (No. 216)
Symmetry-distinct sites (fractional):
1 Rb 0.0000 0.0000 0.0000
2 Li 0.0000 0.0000 0.5000
3 Ni 0.2500 0.2500 0.7500
4 W 0.2500 0.2500 0.2500

Values from the calculation:
Energy above the most stable polymorph in this dataset (meV/atom): 409

# ZnCoSiAg

A geometry-optimized ZnCoSiAg structure (GGA-PBE, the Open Quantum Materials Database).

Cell lengths 6.0085, 6.0085, 6.0085 Å; angles 90.00, 90.00, 90.00 degrees
Space group F-43m (No. 216)
Symmetry-distinct sites (fractional):
1 Zn 0.0000 0.0000 0.0000
2 Co 0.2500 0.2500 0.7500
3 Si 0.0000 0.0000 0.5000
4 Ag 0.2500 0.2500 0.2500

Values from the calculation:
Energy above the most stable polymorph in this dataset (meV/atom): 0